The following is a DFT calculation (PBEsol) of an optimized crystal structure of CaTl2O4.

## Properties
Magnetization ... 0.00 μB/f.u.
Uncorrected formation energy ... -1372 meV/atom
ρ ... 8.83 g/cm³

```
data_CaTl2O4
_cell_length_a 3.329
_cell_length_b 11.053
_cell_length_c 10.484
_cell_angle_alpha 90.00
_cell_angle_beta 90.00
_cell_angle_gamma 90.00
_space_group_name_H-M_alt 'C m c m'
_space_group_IT_number 63
_space_group_name_Hall '-C 2c 2'
loop_
_atom_site_label
_atom_site_type_symbol
_atom_site_fract_x
_atom_site_fract_y
_atom_site_fract_z
_atom_site_occupancy
Ca1 Ca 0.000 0.109 0.250 1
Tl1 Tl 0.000 0.365 0.072 1
O1 O 0.000 0.000 0.000 1
O2 O 0.000 0.280 0.618 1
O3 O 0.000 0.463 0.250 1
```